The following is a PBEsol calculation of a geometry-optimized Tl2CoOs structure, from Alexandria.

The value obtained for the energy of formation is 962 meV per atom.

It has space group I-4m2 (No. 119), with a = 3.927 Å, b = 3.927 Å, c = 8.897 Å, α = 90.00°, β = 90.00° and γ = 90.00°. The distinct sites, in fractional coordinates, are Tl at (0.000, 0.000, 0.000), Tl at (0.000, 0.500, 0.250), Co at (0.000, 0.000, 0.500) and Os at (0.000, 0.500, 0.750).